Version one
DFT (PBE) results for an optimized crystal structure of TiIBr2.

Volume ... 308.7 Å³ per cell

a b c (Å): 14.037 3.465 7.299
angles (deg): 90.00 119.62 90.00
Fractional positions:
Ti 0.000 0.000 0.000
Ti 0.500 0.500 0.000
I 0.154 0.500 0.302
I 0.654 0.000 0.302
Br 0.006 0.500 0.738
Br 0.360 0.000 0.000
Br 0.506 0.000 0.738
Br 0.860 0.500 0.000

---

Version two
DFT (PBE) results for an optimized crystal structure of TiIBr2.

Volume ... 387.5 Å³ per cell

a b c (Å): 3.618 3.618 34.184
angles (deg): 90.00 90.00 120.00
Fractional positions:
Ti 0.000 0.000 0.000
Ti 0.333 0.667 0.667
Ti 0.667 0.333 0.333
I 0.000 0.000 0.500
I 0.333 0.667 0.167
I 0.667 0.333 0.833
Br 0.000 0.000 0.381
Br 0.000 0.000 0.619
Br 0.333 0.667 0.048
Br 0.333 0.667 0.286
Br 0.667 0.333 0.714
Br 0.667 0.333 0.952

---

Of them, the most stable is version one and the least stable is version two.